KLi2Ca | PBE | optimized geometry

Geometry as CIF:
```
data_KLi2Ca
_symmetry_space_group_name_H-M 'P 1'
_symmetry_Int_Tables_number 1
_cell_length_a 11.3285
_cell_length_b 3.7054
_cell_length_c 7.7366
_cell_angle_alpha 90.00
_cell_angle_beta 97.05
_cell_angle_gamma 90.00
loop_
_symmetry_equiv_pos_as_xyz
'x,y,z'
loop_
_atom_site_label
_atom_site_type_symbol
_atom_site_fract_x
_atom_site_fract_y
_atom_site_fract_z
_atom_site_occupancy
K1 K 0.0000 0.0000 0.0000 1
K2 K 0.5000 0.5000 0.0000 1
Li1 Li 0.2449 0.0000 0.6697 1
Li2 Li 0.2551 0.5000 0.3303 1
Li3 Li 0.7449 0.5000 0.6697 1
Li4 Li 0.7551 0.0000 0.3303 1
Ca1 Ca 0.0000 0.5000 0.5000 1
Ca2 Ca 0.5000 0.0000 0.5000 1
```

Output
Crystal system ... monoclinic
Symmetry ... C2/m, No. 12
E_tot ... -1.55 eV/atom